Record 1
CuIrS2 PBE optimized geometry; total moment = 0.0 μB per cell; SG = No. 63; raw formation energy = 0.5 eV/f.u.; N(E_F) = 0.41 states/eV/atom; electronic total energy = -5.168 eV/atom
1.0
1.546 -10.122 0.000
1.546 10.122 0.000
0.000 0.000 4.062
Cu Ir S
2 2 4
Direct
0.036 0.964 0.750 Cu
0.964 0.036 0.250 Cu
0.319 0.681 0.750 Ir
0.681 0.319 0.250 Ir
0.087 0.913 0.250 S
0.203 0.797 0.750 S
0.797 0.203 0.250 S
0.913 0.087 0.750 S

Record 2
P3ClO PBE optimized geometry; total moment = 0.0 μB per cell; SG = No. 221; raw formation energy = 9.9 eV/f.u.; N(E_F) = 1.44 states/eV/atom; offset from the most stable computed form = 993 meV/atom; electronic total energy = -2.634 eV/atom
1.0
4.546 0.000 0.000
0.000 4.546 0.000
0.000 0.000 4.546
P Cl O
3 1 1
Direct
0.000 0.000 0.500 P
0.000 0.500 0.000 P
0.500 0.000 0.000 P
0.000 0.000 0.000 Cl
0.500 0.500 0.500 O

Record 3
LaPrErCd PBE optimized geometry; total moment = 0.0 μB per cell; SG = No. 99; formation enthalpy at 0 K = -0.152 eV/atom; N(E_F) = 1.07 states/eV/atom; offset from the most stable computed form = 0 meV/atom; electronic total energy = -3.948 eV/atom
1.0
3.705 0.000 0.000
0.000 3.705 0.000
0.000 0.000 9.167
La Pr Er Cd
1 1 1 1
Direct
0.000 0.000 0.000 La
0.500 0.500 0.289 Pr
0.000 0.000 0.556 Er
0.500 0.500 0.757 Cd

Record 4
K2CoOs PBE optimized geometry; total moment = 0.0 μB per cell; SG = No. 8; formation enthalpy at 0 K = 0.749 eV/atom; N(E_F) = 0.98 states/eV/atom; offset from the most stable computed form = 0 meV/atom; electronic total energy = -4.383 eV/atom
1.0
3.358 -2.003 0.000
3.358 2.003 0.000
-2.118 0.000 9.680
K Co Os
2 1 1
Direct
0.000 0.000 0.000 K
0.165 0.165 0.526 K
0.411 0.411 0.263 Co
0.750 0.750 0.263 Os